! Pm5PrSm3 | Alexandria | PBE | relaxed; values from VASP
! Excess energy over the best structure of this formula in the dataset   0 meV/atom
! Calculated formation energy   0.13 eV/atom
! DFT total energy   -4.615 eV per atom
&SYSTEM
  ibrav = 0, nat = 18, ntyp = 3
/
ATOMIC_SPECIES
Pm 145.00 Pm.upf
Pr 140.91 Pr.upf
Sm 150.36 Sm.upf
ATOMIC_POSITIONS crystal
Pm 0.012 0.659 0.000
Pm 0.012 0.659 0.500
Pm 0.174 0.826 0.750
Pm 0.341 0.988 0.000
Pm 0.341 0.988 0.500
Pm 0.659 0.012 0.000
Pm 0.659 0.012 0.500
Pm 0.826 0.174 0.250
Pm 0.988 0.341 0.000
Pm 0.988 0.341 0.500
Pr 0.190 0.810 0.250
Pr 0.810 0.190 0.750
Sm 0.318 0.319 0.250
Sm 0.319 0.318 0.750
Sm 0.500 0.500 0.000
Sm 0.500 0.500 0.500
Sm 0.681 0.682 0.250
Sm 0.682 0.681 0.750
CELL_PARAMETERS angstrom
8.983 -4.749 0.000
8.983 4.749 0.000
0.000 0.000 7.320

=====

! BaTa2Pt | Alexandria | PBE | relaxed; values from VASP
! Excess energy over the best structure of this formula in the dataset   620 meV/atom
! Calculated formation energy   0.75 eV/atom
! DFT total energy   -7.165 eV per atom
&SYSTEM
  ibrav = 0, nat = 4, ntyp = 3
/
ATOMIC_SPECIES
Ba 137.33 Ba.upf
Ta 180.95 Ta.upf
Pt 195.08 Pt.upf
ATOMIC_POSITIONS crystal
Ba 0.000 0.000 0.000
Ta 0.250 0.250 0.250
Ta 0.750 0.750 0.750
Pt 0.500 0.500 0.500
CELL_PARAMETERS angstrom
0.000 3.409 3.409
3.409 0.000 3.409
3.409 3.409 0.000

=====

! Tb6Pm3PrDy2 | Alexandria | PBE | relaxed; values from VASP
! Calculated formation energy   0.01 eV/atom
! DFT total energy   -4.654 eV per atom
&SYSTEM
  ibrav = 0, nat = 12, ntyp = 4
/
ATOMIC_SPECIES
Tb 158.93 Tb.upf
Pm 145.00 Pm.upf
Pr 140.91 Pr.upf
Dy 162.50 Dy.upf
ATOMIC_POSITIONS crystal
Tb 0.082 0.417 0.751
Tb 0.249 0.249 0.249
Tb 0.417 0.082 0.751
Tb 0.583 0.918 0.249
Tb 0.751 0.751 0.751
Tb 0.918 0.583 0.249
Pm 0.000 0.000 0.500
Pm 0.333 0.667 0.500
Pm 0.667 0.333 0.500
Pr 0.500 0.500 0.000
Dy 0.167 0.833 0.000
Dy 0.833 0.167 0.000
CELL_PARAMETERS angstrom
3.113 -5.388 0.000
3.113 5.388 0.000
-2.068 0.000 11.718